1.
PmLuCu (PBE, relaxed); offset from the most stable computed form = 0 meV per atom; size of the total moment = 0.00 Bohr magnetons per cell; space-group type = F-43m (216); DFT formation energy = 0.052 eV per atom
1.0
0.0000 3.4203 3.4203
3.4203 0.0000 3.4203
3.4203 3.4203 0.0000
Pm Lu Cu
1 1 1
Direct
0.0000 0.0000 0.0000
0.5000 0.5000 0.5000
0.7500 0.7500 0.7500

2.
Nd5SmSe6 (PBE, relaxed); size of the total moment = 0.02 Bohr magnetons per cell; space-group type = C2/m (12); E_tot = -5.96 eV per atom
1.0
3.6496 -6.3387 0.0000
3.6496 6.3387 0.0000
-2.4460 0.0000 6.8641
Nd Sm Se
5 1 6
Direct
0.0000 0.0000 0.0000
0.1670 0.8330 0.5000
0.3313 0.6687 0.0000
0.6687 0.3313 0.0000
0.8330 0.1670 0.5000
0.5000 0.5000 0.5000
0.0874 0.4173 0.2522
0.2530 0.2530 0.7493
0.4173 0.0874 0.2522
0.5827 0.9126 0.7478
0.7470 0.7470 0.2507
0.9126 0.5827 0.7478

3.
SmGdTm (PBE, relaxed); offset from the most stable computed form = 0 meV per atom; size of the total moment = 0.01 Bohr magnetons per cell; space-group type = F-43m (216); DFT formation energy = 0.703 eV per atom
1.0
0.0000 3.8383 3.8383
3.8383 0.0000 3.8383
3.8383 3.8383 0.0000
Sm Gd Tm
1 1 1
Direct
0.0000 0.0000 0.0000
0.5000 0.5000 0.5000
0.7500 0.7500 0.7500